Model P:
LaSi2Cl | meta-GGA SCAN | single point on PBEsol structure

abc: 3.846 4.091 5.936
angles: 108.64 90.00 90.00
Fractional coordinates of all 4 atoms:
La 0.500 0.110 0.709
Cl 0.000 0.541 0.555
Si 0.500 0.775 0.143
Si 0.000 0.075 0.093

Summary:
- Density: 4.3 Mg/m³
- Total moment: 0.00 μB per formula unit

---

Model Q:
LaSi2Cl | meta-GGA SCAN | single point on PBEsol structure

abc: 3.829 3.829 5.696
angles: 90.00 90.00 90.00
Fractional coordinates of all 4 atoms:
La 0.000 0.000 0.500
Si 0.500 0.000 0.000
Si 0.000 0.500 0.000
Cl 0.500 0.500 0.500

Summary:
- Density: 4.6 Mg/m³
- Total moment: 0.00 μB per formula unit

---

Model R:
LaSi2Cl | meta-GGA SCAN | single point on PBEsol structure

abc: 3.789 4.052 6.014
angles: 90.00 90.00 90.42
Fractional coordinates of all 4 atoms:
Cl 0.000 0.500 0.500
Si 0.251 0.180 0.000
Si 0.749 0.820 0.000
La 0.500 0.000 0.500

Summary:
- Density: 4.1 Mg/m³
- Total moment: 0.00 μB per formula unit

---

Model S:
LaSi2Cl | meta-GGA SCAN | single point on PBEsol structure

abc: 3.418 3.418 7.641
angles: 90.00 90.00 90.00
Fractional coordinates of all 4 atoms:
Si 0.000 0.000 0.049
Si 0.500 0.500 0.152
Cl 0.000 0.000 0.544
La 0.500 0.500 0.756

Summary:
- Density: 4.3 Mg/m³
- Total moment: 0.79 μB per formula unit

---

Question: which arrangement is favored energetically? Ranking from most to least stable: model P, model S, model Q, model R.